# 1
The following is a GGA-PBE calculation of La3In8Ni3 after structural relaxation, from Alexandria.

Structure (extended XYZ):
```
14
Lattice="8.616 -2.453 0.000 8.616 2.453 0.000 -4.830 0.000 7.742" Properties=species:S:1:pos:R:3 pbc="T T T"
La 0.000 0.000 0.000
La 3.521 0.000 2.154
La 8.881 0.000 5.588
In -1.697 0.000 6.446
In 0.451 0.000 3.380
In 1.447 0.000 7.440
In 5.245 0.000 5.098
In 7.157 0.000 2.645
In 10.955 0.000 0.302
In 11.951 0.000 4.363
In 14.099 0.000 1.296
Ni -2.415 0.000 3.871
Ni 2.600 0.000 5.136
Ni 9.802 0.000 2.606
```

energy of formation = -365 meV per atom
space-group type = C2/m, No. 12
N(E_F) = 8.57 states/eV/f.u.


# 2
The following is a GGA-PBE calculation of SrRe2Ni after structural relaxation, from Alexandria.

Structure (extended XYZ):
```
4
Lattice="0.000 3.216 3.216 3.216 0.000 3.216 3.216 3.216 0.000" Properties=species:S:1:pos:R:3 pbc="T T T"
Sr 0.000 0.000 0.000
Re 1.608 1.608 1.608
Re 4.824 4.824 4.824
Ni 3.216 3.216 3.216
```

offset from the most stable computed form = 1147 meV per atom
energy of formation = 1549 meV per atom
space-group type = Fm-3m, No. 225
N(E_F) = 5.19 states/eV/f.u.


# 3
The following is a GGA-PBE calculation of LiZrScNi after structural relaxation, from Alexandria.

Structure (extended XYZ):
```
4
Lattice="0.000 3.258 3.258 3.258 0.000 3.258 3.258 3.258 0.000" Properties=species:S:1:pos:R:3 pbc="T T T"
Li 0.000 0.000 0.000
Zr 4.886 4.886 4.886
Sc 1.629 1.629 1.629
Ni 3.258 3.258 3.258
```

energy of formation = -100 meV per atom
space-group type = F-43m, No. 216
N(E_F) = 4.08 states/eV/f.u.


no.,E (eV per atom),total magnetization (μB per atom)
1,-4.225,0.000
2,-6.541,0.000
3,-5.743,0.000